VASP calculation (SCAN) on a PBEsol-optimized structure of Li4Zr8V3P9O48.

Cell lengths 8.976, 9.001, 12.668 Å; angles 90.39, 91.46, 90.30 degrees
Space group P1 (No. 1)
Unique sites:
Li  0.000  0.000  0.000 [1 per cell]
Li  0.048  0.501  0.146 [1 per cell]
Li  0.476  0.951  0.496 [1 per cell]
Li  0.549  0.448  0.641 [1 per cell]
Zr  0.008  0.179  0.211 [1 per cell]
Zr  0.023  0.236  0.700 [1 per cell]
Zr  0.026  0.752  0.438 [1 per cell]
Zr  0.040  0.676  0.936 [1 per cell]
Zr  0.511  0.769  0.702 [1 per cell]
Zr  0.518  0.705  0.205 [1 per cell]
Zr  0.529  0.206  0.932 [1 per cell]
Zr  0.529  0.271  0.435 [1 per cell]
V  0.365  0.347  0.170 [1 per cell]
V  0.681  0.845  0.966 [1 per cell]
V  0.870  0.602  0.673 [1 per cell]
P  0.158  0.825  0.179 [1 per cell]
P  0.175  0.105  0.464 [1 per cell]
P  0.242  0.969  0.832 [1 per cell]
P  0.307  0.474  0.803 [1 per cell]
P  0.382  0.623  0.463 [1 per cell]
P  0.658  0.123  0.672 [1 per cell]
P  0.737  0.979  0.338 [1 per cell]
P  0.801  0.476  0.310 [1 per cell]
P  0.893  0.319  0.964 [1 per cell]
O  0.089  0.978  0.146 [1 per cell]
O  0.097  0.194  0.550 [1 per cell]
O  0.097  0.780  0.285 [1 per cell]
O  0.108  0.703  0.097 [1 per cell]
O  0.115  0.151  0.353 [1 per cell]
O  0.138  0.884  0.908 [1 per cell]
O  0.143  0.065  0.760 [1 per cell]
O  0.152  0.937  0.479 [1 per cell]
O  0.175  0.321  0.164 [1 per cell]
O  0.200  0.379  0.735 [1 per cell]
O  0.211  0.617  0.463 [1 per cell]
O  0.221  0.582  0.874 [1 per cell]
O  0.326  0.859  0.762 [1 per cell]
O  0.329  0.837  0.182 [1 per cell]
O  0.346  0.134  0.472 [1 per cell]
O  0.351  0.064  0.899 [1 per cell]
O  0.395  0.527  0.145 [1 per cell]
O  0.407  0.378  0.875 [1 per cell]
O  0.411  0.562  0.729 [1 per cell]
O  0.428  0.304  0.295 [1 per cell]
O  0.437  0.747  0.541 [1 per cell]
O  0.439  0.660  0.354 [1 per cell]
O  0.448  0.471  0.500 [1 per cell]
O  0.452  0.239  0.081 [1 per cell]
O  0.587  0.972  0.637 [1 per cell]
O  0.589  0.741  0.055 [1 per cell]
O  0.601  0.246  0.595 [1 per cell]
O  0.605  0.164  0.782 [1 per cell]
O  0.623  0.800  0.839 [1 per cell]
O  0.625  0.063  0.408 [1 per cell]
O  0.645  0.873  0.267 [1 per cell]
O  0.650  0.026  0.989 [1 per cell]
O  0.679  0.625  0.657 [1 per cell]
O  0.693  0.559  0.237 [1 per cell]
O  0.716  0.368  0.381 [1 per cell]
O  0.722  0.332  0.960 [1 per cell]
O  0.819  0.088  0.267 [1 per cell]
O  0.828  0.115  0.671 [1 per cell]
O  0.848  0.895  0.409 [1 per cell]
O  0.870  0.819  0.981 [1 per cell]
O  0.894  0.581  0.381 [1 per cell]
O  0.906  0.422  0.649 [1 per cell]
O  0.911  0.388  0.240 [1 per cell]
O  0.923  0.645  0.801 [1 per cell]
O  0.940  0.200  0.047 [1 per cell]
O  0.952  0.273  0.856 [1 per cell]
O  0.961  0.714  0.589 [1 per cell]
O  0.962  0.472  0.999 [1 per cell]

Computed properties:
As for the calculated total energy: -12.722 eV per atom. For the formation energy from raw total energies, the calculation gives -2.996 eV per atom. As for the crystal system: triclinic.